Entry from Alexandria via LeMat-Bulk: an optimized crystal structure of SrBeIr2 (PBE-GGA).

Values from the calculation:
E_form   11.00 kcal/mol of atoms
Symmetry   P4/mmm
Total energy   -21.22 eV/cell

a = 4.073 Å, b = 4.073 Å, c = 4.116 Å
α = 90.00°, β = 90.00°, γ = 90.00°
Sites, in units of the cell vectors:
Sr (0.000, 0.000, 0.000)
Be (0.500, 0.500, 0.000)
Ir (0.000, 0.500, 0.500)
Ir (0.500, 0.000, 0.500)